A relaxed ZrTe2O crystal. Source: the Alexandria database, functional PBE.

Results
E_tot: -40.66 eV per cell
Formation energy from raw total energies: -0.1351 eV per atom
SG: No. 122
Energy above the lowest structure with this stoichiometry: 450 meV/atom
Crystal system: tetragonal

Unit cell a=7.4745 b=7.4745 c=7.4745 alpha=133.47 beta=133.47 gamma=67.92
With the nearest neighbours (Å) after each atom.
Atoms (fractional coordinates):
Zr  0.0000  0.0000  0.0000  4 Te 2.82
Zr  0.7500  0.2500  0.5000  4 Te 2.82
Te  0.1862  0.6250  0.0612  2 O 2.41
Te  0.3750  0.4362  0.5612  2 O 2.41
Te  0.5638  0.1250  0.9388  2 O 2.41
Te  0.8750  0.8138  0.4388  2 O 2.41
O  0.2500  0.7500  0.5000  4 Te 2.41
O  0.5000  0.5000  0.0000  4 Te 2.41

A relaxed ZrTe3O8 crystal. Source: the Alexandria database, functional PBE.

Results
E_tot: -308.19 eV per cell
Formation energy from raw total energies: -1.6174 eV per atom
SG: No. 206
Crystal system: cubic

Unit cell a=10.0347 b=10.0347 c=10.0347 alpha=109.47 beta=109.47 gamma=109.47
With the nearest neighbours (Å) after each atom.
Atoms (fractional coordinates):
Zr  0.0000  0.0000  0.5000  6 O 2.11
Zr  0.0000  0.5000  0.0000  6 O 2.11
Zr  0.5000  0.0000  0.0000  6 O 2.11
Zr  0.5000  0.5000  0.5000  6 O 2.11
Te  0.0514  0.2500  0.3014  2 O 1.89
Te  0.1986  0.4486  0.7500  2 O 1.89
Te  0.2500  0.3014  0.0514  2 O 1.89
Te  0.2500  0.8014  0.5514  2 O 1.89
Te  0.3014  0.0514  0.2500  2 O 1.89
Te  0.4486  0.7500  0.1986  2 O 1.89
Te  0.5514  0.2500  0.8014  2 O 1.89
Te  0.6986  0.9486  0.7500  2 O 1.89
Te  0.7500  0.1986  0.4486  2 O 1.89
Te  0.7500  0.6986  0.9486  2 O 1.89
Te  0.8014  0.5514  0.2500  2 O 1.89
Te  0.9486  0.7500  0.6986  2 O 1.89
O  0.0000  0.3311  0.5000  3 Te 2.19
O  0.0000  0.6689  0.5000  3 Te 2.19
O  0.0309  0.4546  0.7945  1 Te 1.89, 1 Zr 2.11
O  0.0454  0.0763  0.3399  1 Te 1.89, 1 Zr 2.11
O  0.0763  0.3399  0.0454  1 Te 1.89, 1 Zr 2.11
O  0.1601  0.2364  0.7055  1 Te 1.89, 1 Zr 2.11
O  0.1689  0.1689  0.1689  3 Te 2.19
O  0.2055  0.9691  0.5454  1 Te 1.89, 1 Zr 2.11
O  0.2364  0.7055  0.1601  1 Te 1.89, 1 Zr 2.11
O  0.2636  0.4237  0.4691  1 Te 1.89, 1 Zr 2.11
O  0.2945  0.8399  0.7636  1 Te 1.89, 1 Zr 2.11
O  0.3311  0.5000  0.0000  3 Te 2.19
O  0.3399  0.0454  0.0763  1 Te 1.89, 1 Zr 2.11
O  0.4237  0.4691  0.2636  1 Te 1.89, 1 Zr 2.11
O  0.4546  0.7945  0.0309  1 Te 1.89, 1 Zr 2.11
O  0.4691  0.2636  0.4237  1 Te 1.89, 1 Zr 2.11
O  0.5000  0.0000  0.3311  3 Te 2.19
O  0.5000  0.0000  0.6689  3 Te 2.19
O  0.5309  0.7364  0.5763  1 Te 1.89, 1 Zr 2.11
O  0.5454  0.2055  0.9691  1 Te 1.89, 1 Zr 2.11
O  0.5763  0.5309  0.7364  1 Te 1.89, 1 Zr 2.11
O  0.6601  0.9546  0.9237  1 Te 1.89, 1 Zr 2.11
O  0.6689  0.5000  0.0000  3 Te 2.19
O  0.7055  0.1601  0.2364  1 Te 1.89, 1 Zr 2.11
O  0.7364  0.5763  0.5309  1 Te 1.89, 1 Zr 2.11
O  0.7636  0.2945  0.8399  1 Te 1.89, 1 Zr 2.11
O  0.7945  0.0309  0.4546  1 Te 1.89, 1 Zr 2.11
O  0.8311  0.8311  0.8311  3 Te 2.19
O  0.8399  0.7636  0.2945  1 Te 1.89, 1 Zr 2.11
O  0.9237  0.6601  0.9546  1 Te 1.89, 1 Zr 2.11
O  0.9546  0.9237  0.6601  1 Te 1.89, 1 Zr 2.11
O  0.9691  0.5454  0.2055  1 Te 1.89, 1 Zr 2.11

A relaxed ZrTe3O9 crystal. Source: the Alexandria database, functional PBE.

Results
E_tot: -161.09 eV per cell
Formation energy from raw total energies: -1.3805 eV per atom
SG: No. 9
Crystal system: monoclinic

Unit cell a=8.7098 b=8.7098 c=10.9015 alpha=122.88 beta=122.88 gamma=43.79
With the nearest neighbours (Å) after each atom.
Atoms (fractional coordinates):
Zr  0.2067  0.7933  0.5000  6 O 2.09-2.18
Zr  0.7933  0.2067  0.0000  6 O 2.09-2.18
Te  0.2000  0.3299  0.7940  4 O 1.83-1.85
Te  0.3299  0.2000  0.2940  4 O 1.83-1.85
Te  0.4290  0.7629  0.8883  3 O 1.89-1.94
Te  0.7629  0.4290  0.3883  3 O 1.89-1.94
Te  0.7785  0.8974  0.6092  2 O 1.87-1.97
Te  0.8974  0.7785  0.1092  2 O 1.87-1.97
O  0.0870  0.1878  0.1583  1 Te 1.85
O  0.1494  0.4111  0.9710  1 Te 1.85
O  0.1878  0.0870  0.6583  1 Te 1.85
O  0.2407  0.4858  0.3300  1 Te 1.85
O  0.4033  0.6358  0.6776  1 Te 1.90, 1 Zr 2.11
O  0.4111  0.1494  0.4710  1 Te 1.85
O  0.4858  0.2407  0.8300  1 Te 1.85
O  0.4869  0.6671  0.4507  1 Te 1.89, 1 Zr 2.09
O  0.5483  0.9781  0.1875  1 Te 1.83
O  0.6144  0.8363  0.9213  2 Te 1.94-2.09
O  0.6358  0.4033  0.1776  1 Te 1.90, 1 Zr 2.11
O  0.6671  0.4869  0.9507  1 Te 1.89, 1 Zr 2.09
O  0.8363  0.6144  0.4213  2 Te 1.94-2.09
O  0.9130  0.9184  0.5373  1 Te 1.87
O  0.9184  0.9130  0.0373  1 Te 1.87
O  0.9437  0.9745  0.8186  1 Te 1.97, 1 Zr 2.09
O  0.9745  0.9437  0.3186  1 Te 1.97, 1 Zr 2.09
O  0.9781  0.5483  0.6875  1 Te 1.83

A relaxed ZrTe2O crystal. Source: the Alexandria database, functional PBE.

Results
E_tot: -18.61 eV per cell
Formation energy from raw total energies: 0.2945 eV per atom
SG: No. 166
Energy above the lowest structure with this stoichiometry: 880 meV/atom
Crystal system: trigonal

Unit cell a=9.5521 b=9.5521 c=9.5521 alpha=19.77 beta=19.77 gamma=19.77
With the nearest neighbours (Å) after each atom.
Atoms (fractional coordinates):
Zr  0.0000  0.0000  0.0000  2 Te 2.92
Te  0.1039  0.1039  0.1039  3 O 2.59
Te  0.8961  0.8961  0.8961  3 O 2.59
O  0.5000  0.5000  0.5000  6 Te 2.59

A relaxed ZrTeO2 crystal. Source: the Alexandria database, functional PBE.

Results
E_tot: -58.64 eV per cell
Formation energy from raw total energies: -1.9284 eV per atom
SG: No. 122
Crystal system: tetragonal

Unit cell a=6.4293 b=6.4293 c=6.4293 alpha=120.10 beta=120.10 gamma=89.83
With the nearest neighbours (Å) after each atom.
Atoms (fractional coordinates):
Zr  0.0000  0.0000  0.0000  4 O 1.97
Zr  0.7500  0.2500  0.5000  4 O 1.97
Te  0.2500  0.7500  0.5000  12 O 3.72-3.81, 4 Te 3.94, 4 Zr 3.94
Te  0.5000  0.5000  0.0000  12 O 3.72-3.81, 4 Zr 3.94, 4 Te 3.94
O  0.3750  0.1329  0.2579  2 Zr 1.97
O  0.8671  0.1250  0.2421  2 Zr 1.97
O  0.8750  0.1171  0.7421  2 Zr 1.97
O  0.8829  0.6250  0.7579  2 Zr 1.97

A relaxed Zr2TeO crystal. Source: the Alexandria database, functional PBE.

Results
E_tot: -30.64 eV per cell
Formation energy from raw total energies: -1.3622 eV per atom
SG: No. 166
Energy above the lowest structure with this stoichiometry: 0 meV/atom
Crystal system: trigonal

Unit cell a=6.8403 b=6.8403 c=6.8403 alpha=30.63 beta=30.63 gamma=30.63
With the nearest neighbours (Å) after each atom.
Atoms (fractional coordinates):
Zr  0.2218  0.2218  0.2218  3 O 2.35
Zr  0.7782  0.7782  0.7782  3 O 2.35
Te  0.0000  0.0000  0.0000  6 Zr 3.02
O  0.5000  0.5000  0.5000  6 Zr 2.35

A relaxed ThTiO crystal. Source: the Alexandria database, functional PBE.

Results
E_tot: -98.70 eV per cell
Formation energy from raw total energies: -1.4675 eV per atom
SG: No. 12
Crystal system: monoclinic

Unit cell a=9.7235 b=9.7235 c=5.9872 alpha=98.47 beta=98.47 gamma=23.98
With the nearest neighbours (Å) after each atom.
Atoms (fractional coordinates):
Th  0.0553  0.0553  0.2801  2 Ti 3.31-3.36, 6 Th 3.54-3.69
Th  0.4010  0.4010  0.2011  2 O 2.50-2.51
Th  0.5990  0.5990  0.7989  2 O 2.50-2.51
Th  0.9447  0.9447  0.7199  2 Ti 3.31-3.36, 6 Th 3.54-3.69
Ti  0.2125  0.2125  0.1055  4 O 2.03-2.15
Ti  0.2148  0.2148  0.6097  4 O 2.02-2.12
Ti  0.7852  0.7852  0.3903  4 O 2.02-2.12
Ti  0.7875  0.7875  0.8945  4 O 2.03-2.15
O  0.2926  0.2926  0.3951  4 Ti 2.02-2.13
O  0.2953  0.2953  0.8963  4 Ti 2.03-2.15
O  0.7047  0.7047  0.1037  4 Ti 2.03-2.15
O  0.7074  0.7074  0.6049  4 Ti 2.02-2.13

A relaxed ThTi2O6 crystal. Source: the Alexandria database, functional PBE.

Results
E_tot: -165.46 eV per cell
Formation energy from raw total energies: -3.3080 eV per atom
SG: No. 15
Energy above the lowest structure with this stoichiometry: 16 meV/atom
Crystal system: monoclinic

Unit cell a=6.9520 b=6.9520 c=5.2346 alpha=109.26 beta=109.26 gamma=76.89
With the nearest neighbours (Å) after each atom.
Atoms (fractional coordinates):
Th  0.1884  0.8116  0.7500  6 O 2.33-2.51
Th  0.8116  0.1884  0.2500  6 O 2.33-2.51
Ti  0.1882  0.3515  0.0597  6 O 1.88-2.05
Ti  0.3515  0.1882  0.5597  6 O 1.88-2.05
Ti  0.6485  0.8118  0.4403  6 O 1.88-2.05
Ti  0.8118  0.6485  0.9403  6 O 1.88-2.05
O  0.0943  0.1781  0.6511  2 Ti 2.02-2.05
O  0.1173  0.6017  0.9657  2 Ti 1.88-2.04
O  0.1781  0.0943  0.1511  2 Ti 2.02-2.05
O  0.2708  0.4504  0.4667  2 Ti 1.94-1.95
O  0.3983  0.8827  0.5343  2 Ti 1.88-2.04
O  0.4504  0.2708  0.9667  2 Ti 1.94-1.95
O  0.5496  0.7292  0.0333  2 Ti 1.94-1.95
O  0.6017  0.1173  0.4657  2 Ti 1.88-2.04
O  0.7292  0.5496  0.5333  2 Ti 1.94-1.95
O  0.8219  0.9057  0.8489  2 Ti 2.02-2.05
O  0.8827  0.3983  0.0343  2 Ti 1.88-2.04
O  0.9057  0.8219  0.3489  2 Ti 2.02-2.05

A relaxed ThTi2O6 crystal. Source: the Alexandria database, functional PBE.

Results
E_tot: -82.87 eV per cell
Formation energy from raw total energies: -3.3238 eV per atom
SG: No. 12
Energy above the lowest structure with this stoichiometry: 0 meV/atom
Crystal system: monoclinic

Unit cell a=5.3398 b=5.3398 c=7.0882 alpha=117.16 beta=117.16 gamma=42.24
With the nearest neighbours (Å) after each atom.
Atoms (fractional coordinates):
Th  0.0000  0.0000  0.0000  6 O 2.33-2.34
Ti  0.1770  0.1770  0.6075  5 O 1.87-2.08
Ti  0.8230  0.8230  0.3925  5 O 1.87-2.08
O  0.0250  0.0250  0.6897  2 Ti 1.87-2.08
O  0.2780  0.2780  0.4042  3 Ti 1.99-2.12
O  0.3458  0.3458  0.8913  1 Ti 1.89
O  0.6542  0.6542  0.1087  1 Ti 1.89
O  0.7220  0.7220  0.5958  3 Ti 1.99-2.12
O  0.9750  0.9750  0.3103  2 Ti 1.87-2.08

A relaxed ThTiO4 crystal. Source: the Alexandria database, functional PBE.

Results
E_tot: -111.83 eV per cell
Formation energy from raw total energies: -3.4611 eV per atom
SG: No. 141
Crystal system: tetragonal

Unit cell a=6.1923 b=6.1923 c=6.1923 alpha=107.05 beta=107.05 gamma=114.43
With the nearest neighbours (Å) after each atom.
Atoms (fractional coordinates):
Th  0.3750  0.6250  0.7500  8 O 2.37-2.51
Th  0.6250  0.3750  0.2500  8 O 2.37-2.51
Ti  0.1250  0.8750  0.2500  4 O 1.83
Ti  0.8750  0.1250  0.7500  4 O 1.83
O  0.1245  0.6910  0.4335  1 Ti 1.83
O  0.2425  0.3090  0.9335  1 Ti 1.83
O  0.3090  0.2425  0.4335  1 Ti 1.83
O  0.3090  0.8755  0.0665  1 Ti 1.83
O  0.6910  0.1245  0.9335  1 Ti 1.83
O  0.6910  0.7575  0.5665  1 Ti 1.83
O  0.7575  0.6910  0.0665  1 Ti 1.83
O  0.8755  0.3090  0.5665  1 Ti 1.83

A relaxed Th2TlO crystal. Source: the Alexandria database, functional PBE.

Results
E_tot: -27.39 eV per cell
Formation energy from raw total energies: -1.3066 eV per atom
SG: No. 166
Crystal system: trigonal

Unit cell a=8.3178 b=8.3178 c=8.3178 alpha=25.92 beta=25.92 gamma=25.92
With the nearest neighbours (Å) after each atom.
Atoms (fractional coordinates):
Th  0.2248  0.2248  0.2248  3 O 2.57
Th  0.7752  0.7752  0.7752  3 O 2.57
Tl  0.0000  0.0000  0.0000  6 Th 3.39, 6 Tl 3.73
O  0.5000  0.5000  0.5000  6 Th 2.57

A relaxed ThUTl2O6 crystal. Source: the Alexandria database, functional PBE.

Results
E_tot: -79.24 eV per cell
Formation energy from raw total energies: -2.6050 eV per atom
SG: No. 225
Crystal system: cubic

Unit cell a=6.2725 b=6.2725 c=6.2725 alpha=60.00 beta=60.00 gamma=60.00
With the nearest neighbours (Å) after each atom.
Atoms (fractional coordinates):
Th  0.0000  0.0000  0.0000  6 O 2.33
U  0.5000  0.5000  0.5000  6 O 2.11
Tl  0.2500  0.2500  0.2500  12 O 3.14
Tl  0.7500  0.7500  0.7500  12 O 3.14
O  0.2624  0.2624  0.7376  1 U 2.11, 1 Th 2.33
O  0.2624  0.7376  0.2624  1 U 2.11, 1 Th 2.33
O  0.2624  0.7376  0.7376  1 U 2.11, 1 Th 2.33
O  0.7376  0.2624  0.2624  1 U 2.11, 1 Th 2.33
O  0.7376  0.2624  0.7376  1 U 2.11, 1 Th 2.33
O  0.7376  0.7376  0.2624  1 U 2.11, 1 Th 2.33

A relaxed TmTh3O crystal. Source: the Alexandria database, functional PBE.

Results
E_tot: -37.08 eV per cell
Formation energy from raw total energies: -1.0775 eV per atom
SG: No. 221
Crystal system: cubic

Unit cell a=5.0675 b=5.0675 c=5.0675 alpha=90.00 beta=90.00 gamma=90.00
With the nearest neighbours (Å) after each atom.
Atoms (fractional coordinates):
Tm  0.0000  0.0000  0.0000  12 Th 3.58
Th  0.0000  0.5000  0.5000  2 O 2.53
Th  0.5000  0.0000  0.5000  2 O 2.53
Th  0.5000  0.5000  0.0000  2 O 2.53
O  0.5000  0.5000  0.5000  6 Th 2.53

A relaxed TmThO crystal. Source: the Alexandria database, functional PBE.

Results
E_tot: -21.81 eV per cell
Formation energy from raw total energies: -1.6538 eV per atom
SG: No. 156
Crystal system: trigonal

Unit cell a=3.5981 b=3.5981 c=5.8322 alpha=90.00 beta=90.00 gamma=120.00
With the nearest neighbours (Å) after each atom.
Atoms (fractional coordinates):
Tm  0.0000  0.0000  0.0000  3 O 2.39
Th  0.6667  0.3333  0.5288  3 O 2.60
O  0.3333  0.6667  0.7981  3 Tm 2.39, 3 Th 2.60

A relaxed TmThO4 crystal. Source: the Alexandria database, functional PBE.

Results
E_tot: -49.00 eV per cell
Formation energy from raw total energies: -2.8796 eV per atom
SG: No. 123
Crystal system: tetragonal

Unit cell a=3.7260 b=3.7260 c=6.1407 alpha=90.00 beta=90.00 gamma=90.00
With the nearest neighbours (Å) after each atom.
Atoms (fractional coordinates):
Tm  0.0000  0.0000  0.0000  8 O 2.40
Th  0.0000  0.0000  0.5000  8 O 2.43
O  0.0000  0.5000  0.2464  2 Tm 2.40, 2 Th 2.43, 4 O 2.63
O  0.0000  0.5000  0.7536  2 Tm 2.40, 2 Th 2.43, 4 O 2.63
O  0.5000  0.0000  0.2464  2 Tm 2.40, 2 Th 2.43, 4 O 2.63
O  0.5000  0.0000  0.7536  2 Tm 2.40, 2 Th 2.43, 4 O 2.63

A relaxed TmThUO6 crystal. Source: the Alexandria database, functional PBE.

Results
E_tot: -168.71 eV per cell
Formation energy from raw total energies: -3.4919 eV per atom
SG: No. 163
Crystal system: trigonal

Unit cell a=5.7593 b=5.7593 c=9.7684 alpha=90.00 beta=90.00 gamma=120.00
With the nearest neighbours (Å) after each atom.
Atoms (fractional coordinates):
Tm  0.3333  0.6667  0.2500  6 O 2.25
Tm  0.6667  0.3333  0.7500  6 O 2.25
Th  0.0000  0.0000  0.0000  6 O 2.37
Th  0.0000  0.0000  0.5000  6 O 2.37
U  0.3333  0.6667  0.7500  6 O 2.17
U  0.6667  0.3333  0.2500  6 O 2.17
O  0.0106  0.3472  0.6345  1 U 2.17, 1 Tm 2.25, 1 Th 2.37
O  0.0106  0.6634  0.8655  1 U 2.17, 1 Tm 2.25, 1 Th 2.37
O  0.3366  0.3472  0.8655  1 U 2.17, 1 Tm 2.25, 1 Th 2.37
O  0.3366  0.9894  0.6345  1 U 2.17, 1 Tm 2.25, 1 Th 2.37
O  0.3472  0.0106  0.1345  1 U 2.17, 1 Tm 2.25, 1 Th 2.37
O  0.3472  0.3366  0.3655  1 U 2.17, 1 Tm 2.25, 1 Th 2.37
O  0.6528  0.6634  0.6345  1 U 2.17, 1 Tm 2.25, 1 Th 2.37
O  0.6528  0.9894  0.8655  1 U 2.17, 1 Tm 2.25, 1 Th 2.37
O  0.6634  0.0106  0.3655  1 U 2.17, 1 Tm 2.25, 1 Th 2.37
O  0.6634  0.6528  0.1345  1 U 2.17, 1 Tm 2.25, 1 Th 2.37
O  0.9894  0.3366  0.1345  1 U 2.17, 1 Tm 2.25, 1 Th 2.37
O  0.9894  0.6528  0.3655  1 U 2.17, 1 Tm 2.25, 1 Th 2.37

A relaxed ThU2O8 crystal. Source: the Alexandria database, functional PBE.

Results
E_tot: -103.83 eV per cell
Formation energy from raw total energies: -3.1063 eV per atom
SG: No. 12
Crystal system: monoclinic

Unit cell a=5.9416 b=5.9416 c=4.1546 alpha=96.36 beta=96.36 gamma=111.22
With the nearest neighbours (Å) after each atom.
Atoms (fractional coordinates):
Th  0.0000  0.0000  0.0000  4 O 2.39-2.52
U  0.3197  0.6803  0.5000  8 O 2.19-2.23
U  0.6803  0.3197  0.5000  8 O 2.19-2.23
O  0.0538  0.3217  0.5801  2 U 2.20-2.23
O  0.2441  0.7559  0.0000  2 U 2.21, 1 Th 2.39
O  0.3217  0.0538  0.5801  2 U 2.20-2.23
O  0.3784  0.3784  0.2172  2 U 2.19
O  0.6216  0.6216  0.7828  2 U 2.19
O  0.6783  0.9462  0.4199  2 U 2.20-2.23
O  0.7559  0.2441  0.0000  2 U 2.21, 1 Th 2.39
O  0.9462  0.6783  0.4199  2 U 2.20-2.23